ZnCoAg: optimized geometry, PBE.

```
12
Lattice="-1.9703 -4.2522 3.0219 -0.6625 -1.9279 -3.1448 8.7397 -0.8419 -1.3251" Properties=species:S:1:pos:R:3 pbc="T T T"
Zn -0.3725 -3.2345 2.0614
Co 6.3966 -5.7376 -0.0633
Ag 7.2045 -3.4372 -1.6438
Zn 6.7597 -0.9257 -0.8566
Ag 1.0361 -3.6381 -0.2211
Zn 3.6660 -4.6194 -0.1736
Co 2.3581 -4.3527 2.1716
Zn 2.0586 -1.4687 -1.7665
Co 0.5170 -0.8272 0.3982
Ag 5.7372 -3.0951 0.6888
Ag 3.1659 -2.0523 0.5912
Co 4.5556 -2.2121 -1.8368
```

Results
energy above the most stable polymorph in this dataset = 9 meV per atom
SG = Cm (8)
energy of formation = 0.154 eV/atom

---

MgBe3Nb: optimized geometry, PBE.

```
5
Lattice="4.4810 0.0000 0.0000 0.0000 4.4810 0.0000 0.0000 0.0000 4.4810" Properties=species:S:1:pos:R:3 pbc="T T T"
Be 2.2405 0.0000 0.0000
Mg 2.2405 2.2405 2.2405
Nb 0.0000 0.0000 0.0000
Be 0.0000 0.0000 2.2405
Be 0.0000 2.2405 0.0000
```

Results
energy above the most stable polymorph in this dataset = 47 meV per atom
SG = Pm-3m (221)
energy of formation = 1.287 eV/atom

---

CsBa2CaRh: optimized geometry, PBE.

```
5
Lattice="-2.5210 4.2925 3.9023 0.0738 -4.2307 4.7015 5.3866 1.7823 1.5193" Properties=species:S:1:pos:R:3 pbc="T T T"
Ca 2.6933 0.8912 0.7597
Ba 0.0369 -2.1154 2.3508
Cs 1.4697 0.9221 5.0615
Rh 0.0000 0.0000 0.0000
Ba -1.2605 2.1463 1.9511
```

Results
SG = P4/mmm (123)
energy of formation = -0.049 eV/atom

---

SrAlF3: optimized geometry, PBE.

```
5
Lattice="4.3932 0.0000 0.0000 0.0000 4.3932 0.0000 0.0000 0.0000 4.3932" Properties=species:S:1:pos:R:3 pbc="T T T"
Al 0.0000 0.0000 0.0000
F 0.0000 2.1966 0.0000
F 0.0000 0.0000 2.1966
F 2.1966 0.0000 0.0000
Sr 2.1966 2.1966 2.1966
```

Results
energy above the most stable polymorph in this dataset = 149 meV per atom
energy relative to the elements, uncorrected = -2.433 eV/atom
SG = Pm-3m (221)

---

ZnTc2Br: optimized geometry, PBE.

```
4
Lattice="-3.9498 -7.0365 2.8844 -4.6495 -7.1983 0.0245 -2.0668 -8.2593 0.9728" Properties=species:S:1:pos:R:3 pbc="T T T"
Tc -5.3285 -11.2375 1.9392
Tc -0.0045 -0.0095 0.0016
Br -7.9996 -16.8706 2.9113
Zn -2.6665 -5.6235 0.9704
```

Results
energy above the most stable polymorph in this dataset = 505 meV per atom
energy relative to the elements, uncorrected = 0.655 eV/atom
SG = R-3m (166)

---

UNiSnRu: optimized geometry, PBE.

```
4
Lattice="4.6670 0.0000 0.0000 2.3335 4.0417 0.0000 2.3335 1.3472 3.8106" Properties=species:S:1:pos:R:3 pbc="T T T"
U 0.0000 0.0000 0.0000
Ni 2.3335 1.3472 0.9526
Ru 7.0004 4.0417 2.8579
Sn 4.6670 2.6945 1.9053
```

Results
SG = F-43m (216)
energy of formation = -0.144 eV/atom